[1]
The following is a DFT calculation (PBE) of a geometry-optimized TiGaNi3 structure.

Results
Its distance to the lowest polymorph of the same formula is 0.00 eV/f.u. As for the density of states at the Fermi level: 0.626 states/eV per atom. Its total magnetization is 0.00 μB/atom. As for the total energy: -5.693 eV/atom.

Lattice parameters (Å, degrees): 4.733 5.787 5.787 119.92 90.00 90.00
Fractional positions:
Ni (0.750, 0.201, 0.799)
Ni (0.750, 0.599, 0.799)
Ni (0.250, 0.401, 0.201)
Ni (0.250, 0.799, 0.201)
Ni (0.750, 0.201, 0.401)
Ni (0.250, 0.799, 0.599)
Ga (0.500, 0.000, 0.000)
Ga (0.000, 0.000, 0.000)
Ti (0.750, 0.666, 0.334)
Ti (0.250, 0.334, 0.666)

***

[2]
The following is a DFT calculation (PBE) of a geometry-optimized Ti2Ga3Ni4 structure.

Results
Its distance to the lowest polymorph of the same formula is 0.00 eV/f.u. As for the density of states at the Fermi level: 0.757 states/eV per atom. Its total magnetization is 0.00 μB/atom. As for the total energy: -5.784 eV/atom.

Lattice parameters (Å, degrees): 4.235 4.235 7.828 82.73 82.74 60.12
Fractional positions:
Ti (0.635, 0.635, 0.225)
Ti (0.365, 0.365, 0.775)
Ni (0.043, 0.043, 0.666)
Ni (0.686, 0.686, 0.910)
Ni (0.314, 0.314, 0.090)
Ni (0.957, 0.957, 0.334)
Ga (0.279, 0.279, 0.405)
Ga (0.000, 0.000, 0.000)
Ga (0.721, 0.721, 0.595)

***

[3]
The following is a DFT calculation (PBE) of a geometry-optimized Ti5GaNi structure.

Results
As for the density of states at the Fermi level: 1.176 states/eV per atom. Its total magnetization is 0.00 μB/atom. As for the total energy: -6.984 eV/atom.

Lattice parameters (Å, degrees): 5.043 5.043 9.051 94.87 94.87 92.33
Fractional positions:
Ti (0.025, 0.586, 0.156)
Ti (0.760, 0.514, 0.515)
Ti (0.975, 0.414, 0.844)
Ti (0.240, 0.486, 0.485)
Ti (0.486, 0.240, 0.985)
Ti (0.414, 0.975, 0.344)
Ti (0.890, 0.110, 0.250)
Ti (0.586, 0.025, 0.656)
Ti (0.514, 0.760, 0.015)
Ti (0.110, 0.890, 0.750)
Ni (0.000, 0.000, 0.500)
Ni (0.000, 0.000, 0.000)
Ga (0.521, 0.479, 0.250)
Ga (0.479, 0.521, 0.750)

***

[4]
The following is a DFT calculation (PBE) of a geometry-optimized TiGaNi2 structure.

Results
As for the density of states at the Fermi level: 0.937 states/eV per atom. Its total magnetization is 0.00 μB/atom. As for the total energy: -5.657 eV/atom.

Lattice parameters (Å, degrees): 3.715 3.715 8.674 77.64 77.64 90.00
Fractional positions:
Ga (0.750, 0.250, 0.500)
Ga (0.000, 0.000, 0.000)
Ni (0.111, 0.625, 0.250)
Ni (0.639, 0.125, 0.250)
Ni (0.375, 0.361, 0.750)
Ni (0.875, 0.889, 0.750)
Ti (0.500, 0.500, 0.000)
Ti (0.250, 0.750, 0.500)

***

[5]
The following is a DFT calculation (PBE) of a geometry-optimized TiGaNi5 structure.

Results
Its distance to the lowest polymorph of the same formula is 0.00 eV/f.u. As for the density of states at the Fermi level: 0.733 states/eV per atom. Its total magnetization is 0.00 μB/atom. As for the total energy: -5.779 eV/atom.

Lattice parameters (Å, degrees): 4.122 4.122 5.335 90.00 90.00 90.00
Fractional positions:
Ti (0.500, 0.500, 0.000)
Ni (0.500, 0.000, 0.247)
Ni (0.000, 0.500, 0.247)
Ni (0.000, 0.500, 0.753)
Ni (0.500, 0.000, 0.753)
Ni (0.500, 0.500, 0.500)
Ga (0.000, 0.000, 0.500)

***

[6]
The following is a DFT calculation (PBE) of a geometry-optimized TiGaNi2 structure.

Results
As for the density of states at the Fermi level: 0.946 states/eV per atom. Its total magnetization is 0.00 μB/atom. As for the total energy: -6.048 eV/atom.

Lattice parameters (Å, degrees): 3.049 3.049 5.649 90.00 90.00 90.00
Fractional positions:
Ni (0.000, 0.000, 0.257)
Ni (0.000, 0.000, 0.743)
Ga (0.500, 0.500, 0.000)
Ti (0.500, 0.500, 0.500)

***

> What is the formula in the fifth record?

TiGaNi5

***

> What is the total magnetization in the sixth record?

0.00 μB/atom